Entry 1:
ScSb2Pd7 | GGA-PBE | relaxed

Cell: 4.0629 4.0629 11.4256 Å, 100.24 100.24 90.00°
Last column: nearest neighbours and their distance in Å.
Fractional coordinates of all 10 atoms:
Pd 0.2500 0.7500 0.5000  4 Sb 2.72, 4 Pd 2.87
Pd 0.4103 0.9103 0.8205  2 Sb 2.68, 2 Sc 2.84, 6 Pd 2.84-2.87
Pd 0.5897 0.0897 0.1795  2 Sb 2.68, 2 Sc 2.84, 6 Pd 2.84-2.87
Pd 0.9103 0.4103 0.8205  2 Sb 2.68, 6 Pd 2.84-2.87, 2 Sc 2.84
Pd 0.0897 0.5897 0.1795  2 Sb 2.68, 6 Pd 2.84-2.87, 2 Sc 2.84
Pd 0.5000 0.5000 0.0000  8 Pd 2.84, 4 Sc 2.87
Pd 0.7500 0.2500 0.5000  4 Sb 2.72, 4 Pd 2.87
Sc 0.0000 0.0000 0.0000  12 Pd 2.84-2.87
Sb 0.3316 0.3316 0.6631  8 Pd 2.68-2.72
Sb 0.6684 0.6684 0.3369  8 Pd 2.68-2.72

Properties
**Energy relative to the elements, uncorrected**: -0.592 eV per atom
**Crystal system**: tetragonal
**Total moment**: 0.00 μB/cell
**Fermi-level density of states**: 2.4 states/eV per cell
**SG**: I4/mmm, No. 139

---

Entry 2:
Ba2La2Tc | GGA-PBE | relaxed

Cell: 4.2718 4.2718 10.6093 Å, 78.39 78.39 90.00°
Last column: nearest neighbours and their distance in Å.
Fractional coordinates of all 5 atoms:
Ba 0.2500 0.7500 0.5000  4 Ba 3.02
Ba 0.7500 0.2500 0.5000  4 Ba 3.02
La 0.4255 0.4255 0.1490  1 La 3.03, 4 Tc 3.38
La 0.5745 0.5745 0.8510  1 La 3.03, 4 Tc 3.38
Tc 0.0000 0.0000 0.0000  8 La 3.38

Properties
**Crystal system**: tetragonal
**Relative energy among the computed polymorphs**: 3.67 eV/f.u.
**Total moment**: 0.00 μB/cell
**Fermi-level density of states**: 6.8 states/eV per cell
**Energy relative to the elements**: 1.000 eV per atom
**SG**: I4/mmm, No. 139